DFT (PBE-GGA) results for Li2BPb after structural relaxation.

Geometry as POSCAR:
```
Li2BPb
1.0
3.8143 0.0000 0.0000
0.0000 3.8143 0.0000
1.9071 1.9071 9.1369
B Pb Li
2 2 4
Direct
0.2500 0.7500 0.5000
0.5000 0.5000 0.0000
0.0000 0.0000 0.0000
0.7500 0.2500 0.5000
0.3750 0.4228 0.7500
0.5772 0.1250 0.2500
0.8750 0.8272 0.7500
0.1728 0.6250 0.2500
```

Its crystal system is tetragonal. Its energy above the most stable polymorph in this dataset is 0.24 eV per formula unit. Its formation enthalpy at 0 K is 221 kJ/mol of formula units. As for the magnetization: 0.000 μB per atom. The density of states at the Fermi level is 2.04 states/eV/f.u.